A relaxed structure of BaHfP2Cl, computed with PBE.

Formation energy (no corrections) ... 5.015 eV per formula unit
Symmetry ... P4/mmm (123)

a b c (Å): 5.568 5.568 5.408
angles (deg): 90.00 90.00 90.00
Fractional coordinates of all 5 atoms:
P 0.000 0.500 0.000
P 0.500 0.000 0.000
Hf 0.500 0.500 0.500
Ba 0.000 0.000 0.000
Cl 0.000 0.000 0.500